[1]
VASP calculation (PBE) on a relaxed Sm2ZnGaNi6 crystal.

Computed properties:
The total DFT energy (no corrections) comes out at -47.6 eV per cell. Its symmetry is Fm-3m, No. 225. For the calculated volume, the calculation gives 17.41 Å³ per atom.

abc: 6.2681 6.2681 6.2681
angles: 60.00 60.00 90.00
Fractional coordinates of all 10 atoms:
Sm1 0.7500 0.2500 0.5000
Ni1 0.7505 0.7505 0.4990
Ni2 0.7505 0.2495 0.0000
Ni3 0.2495 0.7505 0.0000
Zn1 0.5000 0.5000 0.0000
Ni4 0.2495 0.2495 0.5010
Ni5 0.2495 0.2495 0.0000
Ni6 0.7505 0.7505 0.0000
Sm2 0.2500 0.7500 0.5000
Ga1 0.0000 0.0000 0.0000



[2]
VASP calculation (PBE) on a relaxed Rb2Mg3F8 crystal.

Computed properties:
Its symmetry is C2/m, No. 12. The calculation puts the uncorrected formation energy at -4135 kJ/mol of formula units. For the calculated volume, the calculation gives 16.41 Å³ per atom.

abc: 5.3969 6.3200 7.3219
angles: 115.57 106.89 90.00
Fractional coordinates of all 13 atoms:
F1 0.6222 0.7003 0.8324
F2 0.1032 0.9169 0.8338
F3 0.3778 0.2997 0.1676
Mg1 0.0000 0.2604 0.0000
F4 0.0250 0.4047 0.8094
Mg2 0.0000 0.7396 0.0000
Rb1 0.3228 0.2755 0.5510
Rb2 0.6772 0.7245 0.4490
F5 0.3778 0.8679 0.1676
F6 0.6222 0.1321 0.8324
F7 0.8968 0.0831 0.1662
Mg3 0.5000 0.0000 0.0000
F8 0.9750 0.5953 0.1906



[3]
VASP calculation (PBE) on a relaxed GePWS2 crystal.

Computed properties:
Its symmetry is P4/mmm, No. 123. The calculation puts the uncorrected formation energy at 612 kJ/mol of formula units. For the calculated volume, the calculation gives 19.13 Å³ per atom. The calculation puts the offset from the most stable computed form at 892 meV/atom.

abc: 4.5578 4.5578 4.6053
angles: 90.00 90.00 90.00
Site moments in Bohr magnetons follow the coordinates.
Fractional coordinates of all 5 atoms:
Ge1 0.0000 0.0000 0.0000  -0.01
P1 0.0000 0.0000 0.5000  -0.20
S1 0.5000 0.0000 0.0000  -0.17
S2 0.0000 0.5000 0.0000  -0.17
W1 0.5000 0.5000 0.5000  2.35



Repeat the first record exactly.
VASP calculation (PBE) on a relaxed Sm2ZnGaNi6 crystal.

Computed properties:
The total DFT energy (no corrections) comes out at -47.6 eV per cell. Its symmetry is Fm-3m, No. 225. For the calculated volume, the calculation gives 17.41 Å³ per atom.

abc: 6.2681 6.2681 6.2681
angles: 60.00 60.00 90.00
Fractional coordinates of all 10 atoms:
Sm1 0.7500 0.2500 0.5000
Ni1 0.7505 0.7505 0.4990
Ni2 0.7505 0.2495 0.0000
Ni3 0.2495 0.7505 0.0000
Zn1 0.5000 0.5000 0.0000
Ni4 0.2495 0.2495 0.5010
Ni5 0.2495 0.2495 0.0000
Ni6 0.7505 0.7505 0.0000
Sm2 0.2500 0.7500 0.5000
Ga1 0.0000 0.0000 0.0000